# 1
## CaGa2CoHg (PBE)

Data for a relaxed structure of CaGa2CoHg.

Calculated values
**Energy of formation from the pure elements**: -238 meV per atom
**Total magnetic moment**: 0.000 μB/cell

Lattice parameters (Å, degrees): 4.5757 4.5757 5.0629 90.00 90.00 90.00
Atoms (fractional coordinates):
Ca: 0.0000 0.0000 0.0000
Ga: 0.0000 0.5000 0.5000
Ga: 0.5000 0.0000 0.5000
Co: 0.5000 0.5000 0.5000
Hg: 0.5000 0.5000 0.0000

***

# 2
## Li2LaHg3 (PBE)

Data for a relaxed structure of Li2LaHg3.

Calculated values
**Energy of formation from the pure elements**: -411 meV per atom
**Total magnetic moment**: 0.000 μB/cell

Lattice parameters (Å, degrees): 4.7512 4.7512 14.1533 90.00 90.00 120.00
Atoms (fractional coordinates):
Li: 0.3333 0.6667 0.0670
Li: 0.3333 0.6667 0.4330
Li: 0.6667 0.3333 0.5670
Li: 0.6667 0.3333 0.9330
La: 0.0000 0.0000 0.2500
La: 0.0000 0.0000 0.7500
Hg: 0.0000 0.0000 0.0000
Hg: 0.0000 0.0000 0.5000
Hg: 0.3333 0.6667 0.6275
Hg: 0.3333 0.6667 0.8725
Hg: 0.6667 0.3333 0.1275
Hg: 0.6667 0.3333 0.3725

***

# 3
## SiRh2Pb (PBE)

Data for a relaxed structure of SiRh2Pb.

Calculated values
**Energy relative to the lowest polymorph listed for this composition**: 0.081 eV/atom
**Total magnetic moment**: 0.000 μB/cell

Lattice parameters (Å, degrees): 7.1273 7.1273 7.1273 155.46 152.04 37.54
Atoms (fractional coordinates):
Si: 0.0000 0.0000 0.0000
Rh: 0.4342 0.4342 0.0000
Rh: 0.6207 0.1207 0.5000
Pb: 0.2514 0.7514 0.5000

***

# 4
## Pu3Zr2ScN6 (PBE)

Data for a relaxed structure of Pu3Zr2ScN6.

Calculated values
**E**: -11.226 eV/atom
**Total magnetic moment**: 14.200 μB/cell

Lattice parameters (Å, degrees): 5.8067 5.8067 5.8353 99.55 99.55 119.96
Atoms (fractional coordinates):
Pu: 0.0000 0.0000 0.0000
Pu: 0.3339 0.6661 0.0000
Pu: 0.6661 0.3339 0.0000
Zr: 0.1667 0.8333 0.5000
Zr: 0.8333 0.1667 0.5000
Sc: 0.5000 0.5000 0.5000
N: 0.0882 0.4216 0.2649
N: 0.2447 0.2447 0.7350
N: 0.4216 0.0882 0.2649
N: 0.5784 0.9118 0.7351
N: 0.7553 0.7553 0.2650
N: 0.9118 0.5784 0.7351

***

# 5
## KSmH6Pd2 (PBE)

Data for a relaxed structure of KSmH6Pd2.

Calculated values
**E**: -3.922 eV/atom
**Total magnetic moment**: 0.000 μB/cell

Lattice parameters (Å, degrees): 6.3634 6.3634 6.5697 92.96 92.96 86.40
Atoms (fractional coordinates):
K: 0.1254 0.8746 0.7500
K: 0.8746 0.1254 0.2500
Sm: 0.3769 0.6231 0.2500
Sm: 0.6231 0.3769 0.7500
H: 0.0523 0.7653 0.1299
H: 0.2347 0.9477 0.3701
H: 0.2614 0.2749 0.6411
H: 0.2749 0.2614 0.1411
H: 0.3466 0.5522 0.9010
H: 0.4478 0.6534 0.5990
H: 0.5522 0.3466 0.4010
H: 0.6534 0.4478 0.0990
H: 0.7251 0.7386 0.8589
H: 0.7386 0.7251 0.3589
H: 0.7653 0.0523 0.6299
H: 0.9477 0.2347 0.8701
Pd: 0.1617 0.3721 0.8877
Pd: 0.3721 0.1617 0.3877
Pd: 0.6279 0.8383 0.6123
Pd: 0.8383 0.6279 0.1123

***

# 6
## Tb2Pr2NdY4 (PBE)

Data for a relaxed structure of Tb2Pr2NdY4.

Calculated values
**Energy of formation from the pure elements**: -6 meV per atom
**Total magnetic moment**: 0.000 μB/cell

Lattice parameters (Å, degrees): 9.6328 9.6328 9.6769 115.23 115.23 21.81
Atoms (fractional coordinates):
Tb: 0.1476 0.1476 0.1632
Tb: 0.8524 0.8524 0.8368
Pr: 0.3337 0.3337 0.5012
Pr: 0.6663 0.6663 0.4988
Nd: 0.0000 0.0000 0.5000
Y: 0.1861 0.1861 0.8364
Y: 0.4804 0.4804 0.1631
Y: 0.5196 0.5196 0.8369
Y: 0.8139 0.8139 0.1636

***

# 7
## DyPt6 (PBE)

Data for a relaxed structure of DyPt6.

Calculated values
**Energy of formation from the pure elements**: 430 meV per atom
**Energy relative to the lowest polymorph listed for this composition**: 0.963 eV/atom
**Total magnetic moment**: 0.004 μB/cell

Lattice parameters (Å, degrees): 6.0669 6.0669 6.0669 109.47 109.47 109.47
Atoms (fractional coordinates):
Dy: 0.0000 0.0000 0.0000
Pt: 0.2500 0.5000 0.7500
Pt: 0.2500 0.7500 0.5000
Pt: 0.5000 0.2500 0.7500
Pt: 0.5000 0.7500 0.2500
Pt: 0.7500 0.2500 0.5000
Pt: 0.7500 0.5000 0.2500

***

# 8
## Li3As2Au (PBE)

Data for a relaxed structure of Li3As2Au.

Calculated values
**Energy of formation from the pure elements**: -370 meV per atom
**Energy relative to the lowest polymorph listed for this composition**: 0.144 eV/atom
**Total magnetic moment**: 0.000 μB/cell

Lattice parameters (Å, degrees): 6.6032 6.6032 6.6032 67.61 67.61 67.61
Atoms (fractional coordinates):
Li: 0.0723 0.7500 0.4277
Li: 0.2500 0.5723 0.9277
Li: 0.4277 0.0723 0.7500
Li: 0.5723 0.9277 0.2500
Li: 0.7500 0.4277 0.0723
Li: 0.9277 0.2500 0.5723
As: 0.1644 0.1644 0.1644
As: 0.3356 0.3356 0.3356
As: 0.6644 0.6644 0.6644
As: 0.8356 0.8356 0.8356
Au: 0.0000 0.0000 0.0000
Au: 0.5000 0.5000 0.5000